Computed, not measured: a geometry-optimized BeAl2GaAg structure at the PBE level of DFT.

Unit cell a=4.9590 b=4.1210 c=4.9590 alpha=90.00 beta=90.00 gamma=90.00
Element x y z (fractional)
Be 0.0000 0.5000 0.0000
Ga 0.0000 0.0000 0.0000
Ag 0.5000 0.5000 0.5000
Al 0.0000 0.0000 0.5000
Al 0.5000 0.0000 0.0000

Calculated values
Energy relative to the elements: 0.667 eV per atom
Fermi-level density of states: 0.284 states/eV/atom